[1]
PBE-GGA Lu2CoC, optimized geometry; polymorph energy (0 for the lowest one) = 0 meV/atom; SG = C2/c, No. 15; total magnetic moment = 0.83 μB/f.u.
1.0
-4.506 3.741 -1.490
-1.517 0.694 -5.809
-6.799 -11.661 3.522
Co C Lu
6 6 12
Direct
0.183 0.422 0.750 Co
0.756 0.244 0.250 Co
0.422 0.183 0.250 Co
0.817 0.578 0.250 Co
0.244 0.756 0.750 Co
0.578 0.817 0.750 Co
0.170 0.664 0.496 C
0.336 0.830 0.004 C
0.664 0.170 0.996 C
0.830 0.336 0.504 C
0.000 0.500 0.000 C
0.500 0.000 0.500 C
0.973 0.797 0.905 Lu
0.797 0.973 0.405 Lu
0.528 0.376 0.603 Lu
0.697 0.865 0.095 Lu
0.376 0.528 0.103 Lu
0.135 0.303 0.405 Lu
0.303 0.135 0.905 Lu
0.865 0.697 0.595 Lu
0.472 0.624 0.397 Lu
0.624 0.472 0.897 Lu
0.027 0.203 0.095 Lu
0.203 0.027 0.595 Lu

---

[2]
PBE-GGA Lu3CoC2, optimized geometry; SG = P6_3/mmc, No. 194; VASP energy = -6.6059 eV/atom; total magnetic moment = 1.11 μB/f.u.
1.0
3.436 0.000 0.000
-1.718 2.976 0.000
0.000 0.000 19.461
Co Lu C
2 6 4
Direct
0.000 0.000 0.250 Co
0.000 0.000 0.750 Co
0.667 0.333 0.357 Lu
0.000 0.000 0.500 Lu
0.333 0.667 0.643 Lu
0.333 0.667 0.857 Lu
0.667 0.333 0.143 Lu
0.000 0.000 0.000 Lu
0.667 0.333 0.577 C
0.667 0.333 0.923 C
0.333 0.667 0.077 C
0.333 0.667 0.423 C

---

[3]
PBE-GGA Lu2Co3Mo4C3, optimized geometry; SG = C2/c, No. 15; VASP energy = -8.6436 eV/atom; total magnetic moment = 0.72 μB/f.u.
1.0
-5.050 1.304 -0.994
-2.636 -2.393 -3.939
-1.344 -8.872 10.034
Mo C Co Lu
8 6 6 4
Direct
0.793 0.983 0.914 Mo
0.306 0.147 0.414 Mo
0.147 0.306 0.914 Mo
0.017 0.207 0.586 Mo
0.694 0.853 0.586 Mo
0.853 0.694 0.086 Mo
0.983 0.793 0.414 Mo
0.207 0.017 0.086 Mo
0.000 0.500 0.500 C
0.331 0.838 0.500 C
0.500 0.000 0.000 C
0.669 0.162 0.500 C
0.838 0.331 0.000 C
0.162 0.669 0.000 C
0.914 0.086 0.750 Co
0.412 0.092 0.749 Co
0.908 0.588 0.751 Co
0.086 0.914 0.250 Co
0.588 0.908 0.251 Co
0.092 0.412 0.249 Co
0.455 0.622 0.872 Lu
0.378 0.545 0.628 Lu
0.545 0.378 0.128 Lu
0.622 0.455 0.372 Lu

---

[4]
PBE-GGA Lu4Co3Mo2C3, optimized geometry; SG = C2/c, No. 15; VASP energy = -7.2925 eV/atom; total magnetic moment = 2.64 μB/f.u.
1.0
4.812 -2.800 0.000
4.812 2.800 0.000
-2.895 0.000 14.440
Lu Mo C Co
8 4 6 6
Direct
0.302 0.126 0.401 Lu
0.874 0.698 0.099 Lu
0.185 0.043 0.099 Lu
0.043 0.185 0.599 Lu
0.698 0.874 0.599 Lu
0.815 0.957 0.901 Lu
0.957 0.815 0.401 Lu
0.126 0.302 0.901 Lu
0.660 0.479 0.427 Mo
0.479 0.660 0.927 Mo
0.521 0.340 0.073 Mo
0.340 0.521 0.573 Mo
0.350 0.801 0.500 C
0.199 0.650 0.000 C
0.500 0.000 0.000 C
0.801 0.350 0.000 C
0.000 0.500 0.500 C
0.650 0.199 0.500 C
0.082 0.421 0.251 Co
0.095 0.905 0.250 Co
0.421 0.082 0.751 Co
0.579 0.918 0.249 Co
0.905 0.095 0.750 Co
0.918 0.579 0.749 Co

---

[5]
PBE-GGA Lu4Co2CN, optimized geometry; SG = P-3m1, No. 164; VASP energy = -6.6410 eV/atom; total magnetic moment = 1.18 μB/f.u.
1.0
3.386 0.000 0.000
-1.693 2.933 0.000
0.000 0.000 13.288
Lu C Co N
4 1 2 1
Direct
0.333 0.667 0.102 Lu
0.667 0.333 0.603 Lu
0.667 0.333 0.898 Lu
0.333 0.667 0.397 Lu
0.000 0.000 0.000 C
0.333 0.667 0.747 Co
0.667 0.333 0.253 Co
0.000 0.000 0.500 N

---

[6]
PBE-GGA Lu4Nb2Co3C3, optimized geometry; SG = C2/c, No. 15; VASP energy = -7.2917 eV/atom; total magnetic moment = 2.14 μB/f.u.
1.0
4.893 -2.841 0.000
4.893 2.841 0.000
-3.050 0.000 14.077
C Nb Lu Co
6 4 8 6
Direct
0.205 0.647 0.500 C
0.795 0.353 0.500 C
0.500 0.000 0.500 C
0.000 0.500 0.000 C
0.647 0.205 0.000 C
0.353 0.795 0.000 C
0.649 0.475 0.916 Nb
0.475 0.649 0.416 Nb
0.351 0.525 0.084 Nb
0.525 0.351 0.584 Nb
0.959 0.811 0.900 Lu
0.128 0.301 0.400 Lu
0.811 0.959 0.400 Lu
0.872 0.699 0.600 Lu
0.301 0.128 0.900 Lu
0.041 0.189 0.100 Lu
0.189 0.041 0.600 Lu
0.699 0.872 0.100 Lu
0.097 0.903 0.750 Co
0.087 0.421 0.750 Co
0.903 0.097 0.250 Co
0.421 0.087 0.250 Co
0.913 0.579 0.250 Co
0.579 0.913 0.750 Co

---

[7]
PBE-GGA Lu4CoNiC2, optimized geometry; polymorph energy (0 for the lowest one) = 0 meV/atom; SG = P-6m2, No. 187; total magnetic moment = 0.55 μB/f.u.
1.0
3.474 0.000 0.000
-1.737 3.009 0.000
0.000 0.000 13.340
Ni C Co Lu
1 2 1 4
Direct
0.000 0.000 0.500 Ni
0.333 0.667 0.251 C
0.333 0.667 0.749 C
0.667 0.333 0.000 Co
0.667 0.333 0.350 Lu
0.000 0.000 0.851 Lu
0.667 0.333 0.650 Lu
0.000 0.000 0.149 Lu

---

[8]
PBE-GGA Lu4CoNiC2, optimized geometry; polymorph energy (0 for the lowest one) = 8 meV/atom; SG = P-6m2, No. 187; total magnetic moment = 0.19 μB/f.u.
1.0
3.474 0.000 0.000
-1.737 3.008 0.000
0.000 0.000 13.271
C Lu Co Ni
2 4 1 1
Direct
0.333 0.667 0.251 C
0.333 0.667 0.749 C
0.667 0.333 0.150 Lu
0.000 0.000 0.349 Lu
0.667 0.333 0.850 Lu
0.000 0.000 0.651 Lu
0.000 0.000 0.000 Co
0.667 0.333 0.500 Ni